[1]
Pr2PS after structural relaxation. Source: OQMD, functional PBE.

* space-group type: Pmmn (59)
* polymorph energy (0 for the lowest one): 0 meV/atom

```
Pr2PS
1.0
4.156 0.000 0.000
0.000 5.867 0.000
0.000 0.000 8.334
P Pr S
2 4 2
direct
0.000 0.000 0.372
0.500 0.500 0.628
0.500 0.000 0.133
0.000 0.500 0.381
0.500 0.000 0.619
0.000 0.500 0.867
0.500 0.500 0.122
0.000 0.000 0.878
```



[2]
PrSc2P3 after structural relaxation. Source: OQMD, functional PBE.

* space-group type: P-3m1 (164)

```
PrSc2P3
1.0
-3.344 1.865 -0.824
-0.069 -3.315 2.085
0.832 5.044 8.046
P Pr Sc
3 1 2
direct
0.000 0.000 0.000
0.333 0.667 0.308
0.667 0.333 0.692
0.000 0.000 0.500
0.667 0.333 0.155
0.333 0.667 0.845
```



[3]
Pr2ScP3 after structural relaxation. Source: OQMD, functional PBE.

* space-group type: P-3m1 (164)

```
Pr2ScP3
1.0
4.066 0.000 0.000
-2.033 3.522 0.000
0.000 0.000 9.891
P Pr Sc
3 2 1
direct
0.000 0.000 0.000
0.333 0.667 0.357
0.667 0.333 0.643
0.667 0.333 0.178
0.333 0.667 0.822
0.000 0.000 0.500
```



Computed values of E (unit: eV/cell) for the preceding records, in sequence: -52.83, -42.37, -40.89.